Ni4Bi2C | PBE | optimized geometry

## Properties
Its total energy is -39.5 eV/cell. The value obtained for the density of states at the Fermi level is 4.0 states/eV/f.u. The space group is I4/mmm. The formation energy comes out at 0.084 eV/atom. As for the volume: 15.3 Å³ per atom.

Unit cell a=3.8424 b=3.8424 c=7.7396 alpha=75.63 beta=75.63 gamma=90.00
Positions (direct):
Ni1 0.8730 0.8730 0.2541
Ni2 0.1270 0.1270 0.7459
Ni3 0.0000 0.5000 0.0000
Ni4 0.5000 0.0000 0.0000
C1 0.0000 0.0000 0.0000
Bi1 0.6691 0.6691 0.6618
Bi2 0.3309 0.3309 0.3382